Entry 1:
First-principles (PBE) data for a geometry-optimized La2TbPmNd5 structure, as listed in Alexandria.

```
data_La2TbPmNd5
_cell_length_a 8.792
_cell_length_b 8.792
_cell_length_c 16.487
_cell_angle_alpha 90.00
_cell_angle_beta 90.00
_cell_angle_gamma 90.00
_symmetry_space_group_name_H-M 'I 4/m c m'
_symmetry_Int_Tables_number 140
_symmetry_space_group_name_Hall '-I 4 2c'
loop_
_atom_site_label
_atom_site_type_symbol
_atom_site_fract_x
_atom_site_fract_y
_atom_site_fract_z
_atom_site_occupancy
La1 La 0.120 0.380 0.000 1
Tb1 Tb 0.000 0.500 0.250 1
Pm1 Pm 0.000 0.000 0.250 1
Nd1 Nd 0.000 0.000 0.000 1
Nd2 Nd 0.218 0.282 0.357 1
```

ΔE_f: 0.24 eV per atom

---

Entry 2:
First-principles (PBE) data for a geometry-optimized AcLa3Pr4S8 structure, as listed in Alexandria.

```
data_AcLa3Pr4S8
_cell_length_a 8.3099
_cell_length_b 8.3099
_cell_length_c 20.3041
_cell_angle_alpha 90.00
_cell_angle_beta 90.00
_cell_angle_gamma 120.00
_symmetry_space_group_name_H-M 'R -3 m'
_symmetry_Int_Tables_number 166
_symmetry_space_group_name_Hall '-R 3 2"'
loop_
_atom_site_label
_atom_site_type_symbol
_atom_site_fract_x
_atom_site_fract_y
_atom_site_fract_z
_atom_site_occupancy
Ac1 Ac 0.0000 0.0000 0.0000 1
La1 La 0.0000 0.5000 0.0000 1
Pr1 Pr 0.0000 0.0000 0.5000 1
Pr2 Pr 0.0000 0.5000 0.5000 1
S1 S 0.0000 0.0000 0.2495 1
S2 S 0.0044 0.5022 0.2484 1
```

formation energy from raw total energies: -2.0742 eV/atom

---

Entry 3:
First-principles (PBE) data for a geometry-optimized SrMnFe2 structure, as listed in Alexandria.

```
data_SrMnFe2
_cell_length_a 4.0406
_cell_length_b 4.0406
_cell_length_c 16.9370
_cell_angle_alpha 90.00
_cell_angle_beta 90.00
_cell_angle_gamma 120.00
_symmetry_space_group_name_H-M 'R 3 m'
_symmetry_Int_Tables_number 160
_symmetry_space_group_name_Hall 'R 3 -2"'
loop_
_atom_site_label
_atom_site_type_symbol
_atom_site_fract_x
_atom_site_fract_y
_atom_site_fract_z
_atom_site_occupancy
Sr1 Sr 0.0000 0.0000 0.0000 1
Mn1 Mn 0.0000 0.0000 0.8137 1
Fe1 Fe 0.0000 0.0000 0.1936 1
Fe2 Fe 0.0000 0.0000 0.4814 1
```

ΔE_f: 0.41 eV per atom

---

Quick rundown of calculated volume, same order as above: 1274.4; 1214.3; 239.5 Å³/cell
Quick rundown of VASP energy, same order as above: -4.543; -6.513; -6.533 eV/atom